The following is a PBE with a Hubbard U calculation of crystalline LiVOF2 at its relaxed geometry, from the Alexandria database.

Calculated volume   230.36 Å³/cell
Distance to the lowest polymorph of the same formula   0.00 kJ/mol of atoms
SG   C2/c, No. 15

a = 6.6370 Å, b = 6.6370 Å, c = 5.3160 Å
α = 96.60°, β = 96.60°, γ = 84.81°
Sites, in units of the cell vectors:
Li1 0.1074 0.2839 0.3225
Li2 0.2839 0.1074 0.8225
Li3 0.7161 0.8926 0.1775
Li4 0.8926 0.7161 0.6775
V1 0.2389 0.7611 0.2500
V2 0.4235 0.5765 0.7500
V3 0.5765 0.4235 0.2500
V4 0.7611 0.2389 0.7500
O1 0.3047 0.4924 0.3898
O2 0.4924 0.3047 0.8898
O3 0.5076 0.6953 0.1102
O4 0.6953 0.5076 0.6102
F1 0.0392 0.2123 0.6389
F2 0.1375 0.6396 0.8857
F3 0.2123 0.0392 0.1389
F4 0.3604 0.8625 0.6143
F5 0.6396 0.1375 0.3857
F6 0.7877 0.9608 0.8611
F7 0.8625 0.3604 0.1143
F8 0.9608 0.7877 0.3611